A plane-wave DFT calculation with PBE-GGA was carried out for an optimized crystal structure of GdZrTl.

Values from the calculation:
**Space group**: No. 216
**M_tot**: 2.07 Bohr magnetons per cell
**E**: -4.437 eV per atom
**Polymorph energy (0 for the lowest one)**: 506.9 meV/atom

Cell: 5.053 5.053 5.053 Å, 60.00 60.00 60.00°
Sites, in units of the cell vectors:
Gd1 0.000 0.000 0.000
Zr1 0.250 0.250 0.250
Tl1 0.750 0.750 0.750